# Ca11Zn4Ag9 | Alexandria via LeMat-Bulk | PBE | optimized geometry
data_Ca11Zn4Ag9
_chemical_formula_sum 'Ca11 Zn4 Ag9'
_cell_length_a 3.892
_cell_length_b 12.852
_cell_length_c 12.852
_cell_angle_alpha 110.63
_cell_angle_beta 90.00
_cell_angle_gamma 90.00
_symmetry_space_group_name_H-M 'P 1'
_symmetry_Int_Tables_number 1
loop_
_symmetry_equiv_pos_as_xyz
'x,y,z'
loop_
_atom_site_label
_atom_site_type_symbol
_atom_site_fract_x
_atom_site_fract_y
_atom_site_fract_z
Ca1 Ca 0.000 0.590 0.930
Ca2 Ca 0.000 0.410 0.070
Ca3 Ca 0.000 0.930 0.590
Ca4 Ca 0.000 0.070 0.410
Ca5 Ca 0.000 0.637 0.363
Ca6 Ca 0.000 0.363 0.637
Ca7 Ca 0.000 0.827 0.173
Ca8 Ca 0.000 0.173 0.827
Ca9 Ca 0.000 0.000 0.000
Ca10 Ca 0.000 0.732 0.732
Ca11 Ca 0.000 0.268 0.268
Zn1 Zn 0.500 0.551 0.736
Zn2 Zn 0.500 0.449 0.264
Zn3 Zn 0.500 0.736 0.551
Zn4 Zn 0.500 0.264 0.449
Ag1 Ag 0.500 0.622 0.158
Ag2 Ag 0.500 0.378 0.842
Ag3 Ag 0.500 0.158 0.622
Ag4 Ag 0.500 0.842 0.378
Ag5 Ag 0.500 0.790 0.946
Ag6 Ag 0.500 0.210 0.054
Ag7 Ag 0.500 0.946 0.790
Ag8 Ag 0.500 0.054 0.210
Ag9 Ag 0.500 0.500 0.500
# E_form = -0.24 eV/atom
# mass density = 4.619 Mg/m³